No. 1
# TbPr12Sm7, relaxed, DFT PBE
# DOS at the Fermi energy	25.88	states/eV/cell
# V	35.9	A^3/atom
# E	-4.54	eV per atom
# formation enthalpy at 0 K	414	kJ/mol of formula units
# polymorph energy (0 for the lowest one)	71.4	meV per atom
data_TbPr12Sm7
_chemical_formula_sum 'Tb1 Pr12 Sm7'
_cell_length_a 6.354
_cell_length_b 11.624
_cell_length_c 11.624
_cell_angle_alpha 116.76
_cell_angle_beta 100.50
_cell_angle_gamma 100.50
_symmetry_space_group_name_H-M 'P 1'
_symmetry_Int_Tables_number 1
loop_
_symmetry_equiv_pos_as_xyz
'x,y,z'
loop_
_atom_site_label
_atom_site_fract_x
_atom_site_fract_y
_atom_site_fract_z
_atom_site_occupancy
Tb1 0.000 0.000 0.000 1
Pr1 0.089 0.589 0.178 1
Pr2 0.089 0.178 0.589 1
Pr3 0.581 0.645 0.000 1
Pr4 0.419 0.000 0.354 1
Pr5 0.500 0.411 0.589 1
Pr6 0.065 0.646 0.645 1
Pr7 0.935 0.354 0.355 1
Pr8 0.500 0.589 0.411 1
Pr9 0.581 0.000 0.646 1
Pr10 0.419 0.355 0.000 1
Pr11 0.911 0.822 0.411 1
Pr12 0.911 0.411 0.822 1
Sm1 0.123 0.752 0.000 1
Sm2 0.877 0.000 0.248 1
Sm3 0.629 0.752 0.752 1
Sm4 0.500 0.000 0.000 1
Sm5 0.371 0.248 0.248 1
Sm6 0.123 0.000 0.752 1
Sm7 0.877 0.248 0.000 1



No. 2
# Sm2SeBr, relaxed, DFT PBE
# DOS at the Fermi energy	2.85	states/eV/cell
# V	32.2	A^3/atom
# E	-4.78	eV per atom
# raw formation energy	-1128	meV per atom
# polymorph energy (0 for the lowest one)	286.4	meV per atom
data_Sm2SeBr
_chemical_formula_sum 'Sm2 Se1 Br1'
_cell_length_a 3.951
_cell_length_b 3.950
_cell_length_c 9.542
_cell_angle_alpha 90.02
_cell_angle_beta 90.06
_cell_angle_gamma 120.00
_symmetry_space_group_name_H-M 'P 1'
_symmetry_Int_Tables_number 1
loop_
_symmetry_equiv_pos_as_xyz
'x,y,z'
loop_
_atom_site_label
_atom_site_fract_x
_atom_site_fract_y
_atom_site_fract_z
_atom_site_occupancy
Sm1 0.735 0.495 0.017 1
Sm2 0.403 0.829 0.543 1
Se1 0.737 0.497 0.724 1
Br1 0.403 0.829 0.235 1



No. 3
# In2FeNi, relaxed, DFT PBE
# DOS at the Fermi energy	2.76	states/eV/cell
# V	16.9	A^3/atom
# E	-4.67	eV per atom
# formation enthalpy at 0 K	102	kJ/mol of formula units
data_In2FeNi
_chemical_formula_sum 'In2 Fe1 Ni1'
_cell_length_a 8.608
_cell_length_b 8.608
_cell_length_c 8.608
_cell_angle_alpha 20.35
_cell_angle_beta 20.35
_cell_angle_gamma 20.35
_symmetry_space_group_name_H-M 'P 1'
_symmetry_Int_Tables_number 1
loop_
_symmetry_equiv_pos_as_xyz
'x,y,z'
loop_
_atom_site_label
_atom_site_fract_x
_atom_site_fract_y
_atom_site_fract_z
_atom_site_occupancy
Fe1 0.750 0.750 0.750 1
In1 0.997 0.997 0.997 1
In2 0.503 0.503 0.503 1
Ni1 0.250 0.250 0.250 1



No. 4
# BaTa2BPd, relaxed, DFT PBE
# DOS at the Fermi energy	5.42	states/eV/cell
# V	19.3	A^3/atom
# E	-6.90	eV per atom
# formation enthalpy at 0 K	287	kJ/mol of formula units
data_BaTa2BPd
_chemical_formula_sum 'Ba1 Ta2 B1 Pd1'
_cell_length_a 4.534
_cell_length_b 4.705
_cell_length_c 4.534
_cell_angle_alpha 90.00
_cell_angle_beta 90.00
_cell_angle_gamma 90.00
_symmetry_space_group_name_H-M 'P 1'
_symmetry_Int_Tables_number 1
loop_
_symmetry_equiv_pos_as_xyz
'x,y,z'
loop_
_atom_site_label
_atom_site_fract_x
_atom_site_fract_y
_atom_site_fract_z
_atom_site_occupancy
B1 0.000 0.000 0.000 1
Ba1 0.500 0.500 0.500 1
Pd1 0.000 0.500 0.000 1
Ta1 0.000 0.000 0.500 1
Ta2 0.500 0.000 0.000 1



No. 5
# KIrW2, relaxed, DFT PBE
# DOS at the Fermi energy	4.50	states/eV/cell
# V	18.1	A^3/atom
# E	-7.60	eV per atom
# formation enthalpy at 0 K	528	kJ/mol of formula units
# polymorph energy (0 for the lowest one)	714.3	meV per atom
data_KIrW2
_chemical_formula_sum 'K1 Ir1 W2'
_cell_length_a 2.649
_cell_length_b 5.258
_cell_length_c 6.114
_cell_angle_alpha 58.02
_cell_angle_beta 90.00
_cell_angle_gamma 90.00
_symmetry_space_group_name_H-M 'P 1'
_symmetry_Int_Tables_number 1
loop_
_symmetry_equiv_pos_as_xyz
'x,y,z'
loop_
_atom_site_label
_atom_site_fract_x
_atom_site_fract_y
_atom_site_fract_z
_atom_site_occupancy
Ir1 0.500 0.500 0.500 1
K1 0.000 0.000 0.500 1
W1 0.000 0.000 0.000 1
W2 0.500 0.500 0.000 1



No. 6
# La2BeTlN, relaxed, DFT PBE
# DOS at the Fermi energy	3.00	states/eV/cell
# V	21.5	A^3/atom
# E	-5.41	eV per atom
# raw formation energy	-554	meV per atom
data_La2BeTlN
_chemical_formula_sum 'La2 Be1 Tl1 N1'
_cell_length_a 5.683
_cell_length_b 5.683
_cell_length_c 3.325
_cell_angle_alpha 90.00
_cell_angle_beta 90.00
_cell_angle_gamma 90.00
_symmetry_space_group_name_H-M 'P 1'
_symmetry_Int_Tables_number 1
loop_
_symmetry_equiv_pos_as_xyz
'x,y,z'
loop_
_atom_site_label
_atom_site_fract_x
_atom_site_fract_y
_atom_site_fract_z
_atom_site_occupancy
Be1 0.000 0.000 0.500 1
Tl1 0.500 0.500 0.500 1
N1 0.000 0.000 0.000 1
La1 0.000 0.500 0.000 1
La2 0.500 0.000 0.000 1



No. 7
# Zr2MnAg2S6, relaxed, DFT PBE
# DOS at the Fermi energy	4.06	states/eV/cell
# V	22.2	A^3/atom
# E	-6.02	eV per atom
# raw formation energy	-858	meV per atom
data_Zr2MnAg2S6
_chemical_formula_sum 'Zr2 Mn1 Ag2 S6'
_cell_length_a 6.174
_cell_length_b 6.174
_cell_length_c 7.499
_cell_angle_alpha 88.16
_cell_angle_beta 88.16
_cell_angle_gamma 121.24
_symmetry_space_group_name_H-M 'P 1'
_symmetry_Int_Tables_number 1
loop_
_symmetry_equiv_pos_as_xyz
'x,y,z'
loop_
_atom_site_label
_atom_site_fract_x
_atom_site_fract_y
_atom_site_fract_z
_atom_site_occupancy
Zr1 0.341 0.659 0.500 1
Zr2 0.659 0.341 0.500 1
Mn1 0.000 0.000 0.500 1
Ag1 0.856 0.144 0.000 1
Ag2 0.144 0.856 0.000 1
S1 0.673 0.673 0.698 1
S2 0.978 0.287 0.692 1
S3 0.327 0.327 0.302 1
S4 0.287 0.978 0.692 1
S5 0.022 0.713 0.308 1
S6 0.713 0.022 0.308 1



No. 8
# YCuNi, relaxed, DFT PBE
# DOS at the Fermi energy	4.40	states/eV/cell
# V	18.1	A^3/atom
# E	-5.77	eV per atom
# formation enthalpy at 0 K	-93	kJ/mol of formula units
data_YCuNi
_chemical_formula_sum 'Y2 Cu2 Ni2'
_cell_length_a 3.677
_cell_length_b 4.051
_cell_length_c 8.259
_cell_angle_alpha 118.33
_cell_angle_beta 89.99
_cell_angle_gamma 90.00
_symmetry_space_group_name_H-M 'P 1'
_symmetry_Int_Tables_number 1
loop_
_symmetry_equiv_pos_as_xyz
'x,y,z'
loop_
_atom_site_label
_atom_site_fract_x
_atom_site_fract_y
_atom_site_fract_z
_atom_site_occupancy
Y1 0.363 0.568 0.267 1
Y2 0.363 0.602 0.802 1
Cu1 0.864 0.249 0.446 1
Cu2 0.863 0.920 0.623 1
Ni1 0.863 0.916 0.117 1
Ni2 0.863 0.254 0.952 1